An optimized crystal structure of Hf3GaCu. Source: Alexandria, functional PBE.

a b c (Å): 4.8205 4.8205 4.8205
angles (deg): 90.00 90.00 90.00
Closest atoms and distances in Å follow each position.
Sites, in units of the cell vectors:
Hf: 0.0000 0.0000 0.5000  2 Cu 2.41
Hf: 0.5000 0.0000 0.0000  2 Cu 2.41
Hf: 0.0000 0.5000 0.0000  2 Cu 2.41
Cu: 0.0000 0.0000 0.0000  6 Hf 2.41
Ga: 0.5000 0.5000 0.5000  12 Hf 3.41

Results
- total moment (μB/cell) = 0.000
- ΔE_f (eV per atom) = 0.4141
- relative energy among the computed polymorphs (meV/atom) = 271.2
- symmetry = Pm-3m (221)

---

An optimized crystal structure of AcPmSc2. Source: Alexandria, functional PBE.

a b c (Å): 3.6014 3.6014 11.2926
angles (deg): 80.82 80.82 60.00
Closest atoms and distances in Å follow each position.
Sites, in units of the cell vectors:
Sc: 0.7480 0.7480 0.7561  3 Pm 3.41, 3 Ac 3.52, 6 Sc 3.60
Sc: 0.2520 0.2520 0.2439  3 Pm 3.41, 3 Ac 3.52, 6 Sc 3.60
Ac: 0.5000 0.5000 0.5000  6 Sc 3.52, 6 Ac 3.60
Pm: 0.0000 0.0000 0.0000  6 Sc 3.41, 6 Pm 3.60

Results
- total moment (μB/cell) = 0.000
- ΔE_f (eV per atom) = 0.1301
- relative energy among the computed polymorphs (meV/atom) = 45.2
- symmetry = R-3m (166)

---

An optimized crystal structure of K3In8Au3. Source: Alexandria, functional PBE.

a b c (Å): 4.9114 9.4020 9.4020
angles (deg): 74.73 74.86 74.86
Closest atoms and distances in Å follow each position.
Sites, in units of the cell vectors:
K: 0.1656 0.8344 0.8344  4 Au 3.39-3.77, 8 In 3.54-3.62
K: 0.5000 0.5000 0.5000  12 In 3.63-3.91, 4 Au 3.68
K: 0.8344 0.1656 0.1656  4 Au 3.39-3.77, 8 In 3.54-3.62
Au: 0.0000 0.2595 0.7405  6 In 2.83-2.96
Au: 0.5000 0.0000 0.0000  4 In 2.89
Au: 0.0000 0.7405 0.2595  6 In 2.83-2.96
In: 0.3893 0.8976 0.3238  3 Au 2.89-2.96, 4 In 3.02-3.15
In: 0.1835 0.4563 0.1766  1 Au 2.83, 3 In 3.02-3.15
In: 0.3893 0.3238 0.8976  3 Au 2.89-2.96, 4 In 3.02-3.15
In: 0.6107 0.1024 0.6762  3 Au 2.89-2.96, 4 In 3.02-3.15
In: 0.8165 0.8234 0.5437  1 Au 2.83, 3 In 3.02-3.15
In: 0.1835 0.1766 0.4563  1 Au 2.83, 3 In 3.02-3.15
In: 0.8165 0.5437 0.8234  1 Au 2.83, 3 In 3.02-3.15
In: 0.6107 0.6762 0.1024  3 Au 2.89-2.96, 4 In 3.02-3.15

Results
- total moment (μB/cell) = 0.000
- ΔE_f (eV per atom) = -0.2107
- relative energy among the computed polymorphs (meV/atom) = 0.0
- symmetry = Immm (71)

---

An optimized crystal structure of DyThTeOs. Source: Alexandria, functional PBE.

a b c (Å): 4.2084 4.2074 7.7139
angles (deg): 90.00 105.87 119.99
Closest atoms and distances in Å follow each position.
Sites, in units of the cell vectors:
Dy: 0.4984 0.1471 0.6606  3 Os 2.86, 3 Te 3.18
Os: 0.3025 0.5492 0.8668  3 Th 2.82, 3 Dy 2.86
Te: 0.9771 0.3865 0.3795  3 Dy 3.18, 3 Th 3.36
Th: 0.0999 0.9479 0.0628  3 Os 2.82

Results
- total moment (μB/cell) = 0.000
- formation energy without anion corrections (meV/atom) = -707
- symmetry = R3m (160)

---

Q: Look up the total moment of the second one.
A: 0.000 μB/cell